DFT (PBE-GGA) results for a relaxed Tb2FeB2Ru5 crystal.

abc: 3.0953 9.5560 9.5560
angles: 90.00 90.00 90.00
Closest atoms and distances in Å follow each position.
Positions (direct):
Tb 0.0000 0.6757 0.1757  3 B 2.72-2.90, 10 Ru 2.83-3.00
Tb 0.0000 0.3243 0.8243  3 B 2.72-2.90, 10 Ru 2.83-3.00
Tb 0.0000 0.1757 0.3243  3 B 2.72-2.90, 10 Ru 2.83-3.00
Tb 0.0000 0.8243 0.6757  3 B 2.72-2.90, 10 Ru 2.83-3.00
Fe 0.0000 0.0000 0.0000  8 Ru 2.65
Fe 0.0000 0.5000 0.5000  8 Ru 2.65
B 0.0000 0.1228 0.6228  6 Ru 2.25-2.27
B 0.0000 0.8772 0.3772  6 Ru 2.25-2.27
B 0.0000 0.6228 0.8772  6 Ru 2.25-2.27
B 0.0000 0.3772 0.1228  6 Ru 2.25-2.27
Ru 0.5000 0.2146 0.0697  2 B 2.25
Ru 0.5000 0.7854 0.9303  2 B 2.25
Ru 0.5000 0.0697 0.7854  2 B 2.25
Ru 0.5000 0.7146 0.4303  2 B 2.25
Ru 0.5000 0.9303 0.2146  2 B 2.25
Ru 0.5000 0.2854 0.5697  2 B 2.25
Ru 0.5000 0.5697 0.7146  2 B 2.25
Ru 0.5000 0.4303 0.2854  2 B 2.25
Ru 0.5000 0.5000 0.0000  4 B 2.27
Ru 0.5000 0.0000 0.5000  4 B 2.27

## Properties
As for the space group: P4/mbm. As for the theoretical density: 10.6 Mg/m³. The calculation puts the formation energy at -3.3 eV/f.u. As for the final energy: -8.074 eV per atom.

DFT (PBE-GGA) results for a relaxed FeTcB2Ru crystal.

abc: 3.7467 4.4492 3.7467
angles: 90.00 90.00 90.00
Closest atoms and distances in Å follow each position.
Positions (direct):
Ru 0.5000 0.5000 0.5000  4 Tc 2.65, 8 B 2.91
B 0.0000 0.0000 0.5000  2 Fe 1.87
B 0.5000 0.0000 0.0000  2 Fe 1.87
Tc 0.0000 0.5000 0.0000  2 Fe 2.22
Fe 0.0000 0.0000 0.0000  4 B 1.87

## Properties
As for the space group: P4/mmm. As for the theoretical density: 7.4 Mg/m³. The calculation puts the formation energy at 6.1 eV/f.u. As for the final energy: -7.081 eV per atom.

Number 2 is which compound?
FeTcB2Ru